1.
# BaAsPb2

A relaxed structure of BaAsPb2 (PBEsol, Alexandria).

a = 10.8516 Å, b = 4.1938 Å, c = 5.9440 Å
α = 90.00°, β = 111.23°, γ = 90.00°
Closest atoms and distances in Å follow each position.
Space group Cm (No. 8)
Symmetry-distinct sites (fractional):
Ba: 0.0000 0.0000 0.0000 x2  2 As 3.37, 7 Pb 3.59-3.73
As: 0.2372 0.5000 0.3435 x2  4 Pb 2.90-3.09
Pb: 0.2200 0.0000 0.6689 x2  2 As 2.90
Pb: 0.4603 0.0000 0.4583 x2  3 As 3.09-3.31, 3 Pb 3.28-3.37

Summary:
- calculated formation energy (eV/atom) = -0.41

=====

2.
# Ba2As2Pb

A relaxed structure of Ba2As2Pb (PBEsol, Alexandria).

a = 7.9779 Å, b = 7.9779 Å, c = 4.8109 Å
α = 90.00°, β = 90.00°, γ = 90.00°
Closest atoms and distances in Å follow each position.
Space group P4/mbm (No. 127)
Symmetry-distinct sites (fractional):
Ba: 0.1810 0.3190 0.0000 x4  6 As 3.35-3.40
As: 0.1118 0.6118 0.5000 x4  1 As 2.52
Pb: 0.0000 0.0000 0.5000 x2  4 As 3.22

Summary:
- calculated formation energy (eV/atom) = -0.84
- relative energy among the computed polymorphs (meV/atom) = 0.0

=====

3.
# Ba4AsPb

A relaxed structure of Ba4AsPb (PBEsol, Alexandria).

a = 9.6865 Å, b = 9.6865 Å, c = 9.6865 Å
α = 90.00°, β = 90.00°, γ = 90.00°
Closest atoms and distances in Å follow each position.
Space group F-43m (No. 216)
Symmetry-distinct sites (fractional):
Ba: 0.1241 0.1241 0.3759 x16  6 Ba 3.40-3.45
As: 0.2500 0.2500 0.7500 x4  12 Ba 4.01, 4 Pb 4.19
Pb: 0.0000 0.0000 0.0000 x4  12 Ba 4.02, 4 As 4.19

Summary:
- calculated formation energy (eV/atom) = 0.16

=====

4.
# Ba2AsPb

A relaxed structure of Ba2AsPb (PBEsol, Alexandria).

a = 8.0257 Å, b = 8.0257 Å, c = 8.0257 Å
α = 90.00°, β = 90.00°, γ = 90.00°
Closest atoms and distances in Å follow each position.
Space group F-43m (No. 216)
Symmetry-distinct sites (fractional):
Ba: 0.0000 0.0000 0.0000 x4  4 Ba 3.48, 4 As 3.48
Ba: 0.2500 0.2500 0.2500 x4  4 Ba 3.48, 4 Pb 3.48
As: 0.2500 0.2500 0.7500 x4  4 Ba 3.48, 4 Pb 3.48
Pb: 0.0000 0.0000 0.5000 x4  4 As 3.48, 4 Ba 3.48

Summary:
- calculated formation energy (eV/atom) = -0.27
- relative energy among the computed polymorphs (meV/atom) = 372.1

=====

5.
# Ba3AsPb

A relaxed structure of Ba3AsPb (PBEsol, Alexandria).

a = 6.1986 Å, b = 6.1986 Å, c = 6.1986 Å
α = 90.00°, β = 90.00°, γ = 90.00°
Closest atoms and distances in Å follow each position.
Space group Pm-3m (No. 221)
Symmetry-distinct sites (fractional):
Ba: 0.0000 0.0000 0.5000 x3  2 As 3.10
As: 0.0000 0.0000 0.0000 x1  6 Ba 3.10
Pb: 0.5000 0.5000 0.5000 x1  12 Ba 4.38

Summary:
- calculated formation energy (eV/atom) = -0.56

=====

6.
# Ba2AsPb

A relaxed structure of Ba2AsPb (PBEsol, Alexandria).

a = 8.1881 Å, b = 8.1881 Å, c = 8.1881 Å
α = 90.00°, β = 90.00°, γ = 90.00°
Closest atoms and distances in Å follow each position.
Space group Fm-3m (No. 225)
Symmetry-distinct sites (fractional):
Ba: 0.2500 0.2500 0.2500 x8  4 As 3.55, 4 Pb 3.55
As: 0.0000 0.0000 0.0000 x4  8 Ba 3.55
Pb: 0.0000 0.0000 0.5000 x4  8 Ba 3.55

Summary:
- calculated formation energy (eV/atom) = -0.57
- relative energy among the computed polymorphs (meV/atom) = 78.1